! BaHo2Te4 PBE-GGA relaxed; values from VASP
! **Space group**: Pnma (62)
! **E**: -34.4 eV/f.u.
! **Crystal system**: orthorhombic
&SYSTEM
  ibrav = 0, nat = 28, ntyp = 3
/
ATOMIC_SPECIES
Te 127.60 Te.upf
Ho 164.93 Ho.upf
Ba 137.33 Ba.upf
ATOMIC_POSITIONS angstrom
Te -4.2847 -12.3007 5.8836
Te 5.4108 -8.6115 10.0943
Te -0.1644 -12.8342 7.4561
Te 2.4011 -13.7336 11.8554
Te -3.7194 -14.6794 9.2966
Te -0.4306 -16.4174 11.1195
Te -2.0270 -9.0925 5.2731
Te -5.4553 -9.7864 1.5187
Te 3.6749 -3.7184 2.3164
Te 0.1199 -5.5637 4.1569
Te -2.4456 -4.6643 -0.2424
Te 4.2403 -6.0972 5.7294
Te 0.3861 -1.9805 0.4935
Te 1.1884 -9.8469 10.3693
Te -1.2329 -8.5510 1.2437
Te 1.9826 -9.3054 6.3399
Ho 3.8622 -11.1958 10.9430
Ho -2.4772 -14.7203 6.5122
Ho 0.5917 -8.6076 3.7192
Ho -0.6362 -9.7903 7.8938
Ho 5.5458 -6.1220 11.9554
Ho -3.9067 -7.2021 0.6700
Ho 2.4327 -3.6776 5.1008
Ho -5.5903 -12.2759 -0.3424
Ba 0.8815 -5.5300 0.6536
Ba -0.9260 -12.8679 10.9594
Ba -2.6529 -11.6174 2.8027
Ba 2.6084 -6.7805 8.8103
CELL_PARAMETERS angstrom
-8.9956 -10.4144 -0.2216
2.9537 -2.5038 -2.2343
5.9974 -5.4797 14.0689